[1]
Compound: Pa2TlSe6
Source: the Alexandria database
Functional: GGA-PBE
Structure: optimized geometry

Output
Space group: P-3 (147)

a = 4.0682 Å, b = 8.0077 Å, c = 8.0077 Å
α = 120.00°, β = 90.00°, γ = 90.00°
Element x y z (fractional)
Pa  0.7397  0.3333  0.6667
Pa  0.2603  0.6667  0.3333
Se  0.7591  0.3994  0.3121
Se  0.2409  0.3121  0.9127
Se  0.7591  0.6879  0.0873
Se  0.7591  0.9127  0.6006
Se  0.2409  0.6006  0.6879
Se  0.2409  0.0873  0.3994
Tl  0.5000  0.0000  0.0000

***

[2]
Compound: Pa2TlSe5
Source: the Alexandria database
Functional: GGA-PBE
Structure: optimized geometry

Output
Space group: I4/mcm (140)
Energy above the lowest structure with this stoichiometry in meV/atom: 0

a = 7.8436 Å, b = 7.8436 Å, c = 9.1608 Å
α = 115.35°, β = 115.35°, γ = 90.00°
Site moments in Bohr magnetons follow the coordinates.
Element x y z (fractional)
Se  0.5222  0.7300  0.7522  -0.03
Se  0.0000  0.0000  0.0000  -0.02
Se  0.2300  0.0222  0.7522  -0.03
Se  0.7700  0.9778  0.2478  -0.03
Se  0.4778  0.2700  0.2478  -0.03
Se  0.7300  0.2300  0.7522  -0.03
Se  0.9778  0.4778  0.2478  -0.03
Se  0.2700  0.7700  0.2478  -0.03
Se  0.0222  0.5222  0.7522  -0.03
Se  0.5000  0.5000  0.0000  -0.02
Tl  0.7500  0.7500  0.5000  0.00
Tl  0.2500  0.2500  0.5000  0.00
Pa  0.6573  0.1573  0.0000  0.54
Pa  0.1573  0.3427  0.0000  0.54
Pa  0.3427  0.8427  0.0000  0.54
Pa  0.8427  0.6573  0.0000  0.54

***

[3]
Compound: PaTl4Se5
Source: the Alexandria database
Functional: GGA-PBE
Structure: optimized geometry

Output
Space group: I4/m (87)

a = 5.9689 Å, b = 7.8655 Å, c = 7.8655 Å
α = 81.72°, β = 67.70°, γ = 67.70°
Element x y z (fractional)
Se  0.7458  0.1669  0.3438
Se  0.0896  0.6562  0.1669
Se  0.5010  0.0000  0.0000
Se  0.2565  0.8331  0.6562
Se  0.9127  0.3438  0.8331
Tl  0.3925  0.4123  0.8046
Tl  0.1971  0.1954  0.4123
Tl  0.6094  0.5877  0.1954
Tl  0.8047  0.8046  0.5877
Pa  0.0010  0.0000  0.0000

***

[4]
Compound: PaTl5Se6
Source: the Alexandria database
Functional: GGA-PBE
Structure: optimized geometry

Output
Space group: C2/m (12)

a = 7.8511 Å, b = 7.4705 Å, c = 7.5584 Å
α = 60.38°, β = 82.08°, γ = 73.81°
Element x y z (fractional)
Pa  0.0000  0.0000  0.0000
Tl  0.5000  0.5000  0.0000
Tl  0.0000  0.3345  0.3310
Tl  0.5000  0.1703  0.6595
Tl  0.5000  0.8297  0.3405
Tl  0.0000  0.6655  0.6690
Se  0.7865  0.0727  0.3027
Se  0.7718  0.7752  0.0000
Se  0.2135  0.6245  0.3027
Se  0.2282  0.2248  0.0000
Se  0.2135  0.9273  0.6973
Se  0.7865  0.3755  0.6973

***

[5]
Compound: PaTlSe
Source: the Alexandria database
Functional: GGA-PBE
Structure: optimized geometry

Output
Space group: P3m1 (156)

a = 3.5345 Å, b = 3.5345 Å, c = 7.3945 Å
α = 90.00°, β = 90.00°, γ = 120.00°
Element x y z (fractional)
Se  0.3333  0.6667  0.6346
Tl  0.0000  0.0000  0.9994
Pa  0.6667  0.3333  0.3660

***

[6]
Compound: PaTl2Se3
Source: the Alexandria database
Functional: GGA-PBE
Structure: optimized geometry

Output
Space group: Fddd (70)
Energy above the lowest structure with this stoichiometry in meV/atom: 0

a = 7.8245 Å, b = 7.8245 Å, c = 13.7052 Å
α = 101.66°, β = 101.66°, γ = 106.99°
Site moments in Bohr magnetons follow the coordinates.
Element x y z (fractional)
Se  0.4482  0.9482  0.5000  -0.03
Se  0.9437  0.9033  0.3147  -0.03
Se  0.3711  0.4114  0.3147  -0.03
Se  0.6614  0.1211  0.8147  -0.03
Se  0.8018  0.8018  0.0000  -0.03
Se  0.3063  0.8467  0.1853  -0.03
Se  0.8789  0.3386  0.1853  -0.03
Se  0.5886  0.6289  0.6853  -0.03
Se  0.0518  0.5518  0.5000  -0.03
Se  0.0967  0.0563  0.6853  -0.03
Se  0.1982  0.1982  0.0000  -0.03
Se  0.1533  0.6937  0.8147  -0.03
Tl  0.6731  0.1731  0.3463  0.00
Tl  0.5021  0.0021  0.0041  0.00
Tl  0.8269  0.3269  0.6537  0.00
Tl  0.2521  0.2521  0.5041  0.00
Tl  0.7479  0.7479  0.4959  0.00
Tl  0.4231  0.4231  0.8463  0.00
Tl  0.5769  0.5769  0.1537  0.00
Tl  0.9979  0.4979  0.9959  0.00
Pa  0.9154  0.9154  0.8309  0.98
Pa  0.0846  0.0846  0.1691  0.98
Pa  0.1654  0.6654  0.3309  0.98
Pa  0.3346  0.8346  0.6691  0.98

***

These records have DOS(E_F) values of 6.81 2.67 3.72 7.93 4.04 22.81 states/eV/cell, in the order they appear.
These records have total magnetic moment values of 0.00 0.13 0.00 0.00 0.00 0.17 μB per atom, in the order they appear.
These records have energy relative to the elements, uncorrected values of -1.09 -1.21 -0.71 -0.64 -0.33 -0.92 eV/atom, in the order they appear.